VASP calculation (GGA-PBE) on crystalline Tl2BHPt at its relaxed geometry.

Calculated values
Its crystal system is tetragonal. For the density of states at the Fermi level, the calculation gives 3.30 states/eV/cell. The value obtained for the density is 10.27 Mg/m³. The value obtained for the electronic total energy is -3.335 eV/atom. The space group is No. 123.

Lattice parameters (Å, degrees): 5.4132 3.3962 5.4132 90.00 90.00 90.00
Fractional coordinates of all 5 atoms:
Tl  0.5000  0.0000  0.0000
Pt  0.0000  0.0000  0.0000
B  0.5000  0.5000  0.5000
Tl  0.0000  0.0000  0.5000
H  0.0000  0.5000  0.0000


VASP calculation (GGA-PBE) on crystalline Ba5Sr2Tl2In at its relaxed geometry.

Calculated values
Its crystal system is tetragonal. For the density of states at the Fermi level, the calculation gives 26.64 states/eV/cell. The value obtained for the density is 4.76 Mg/m³. The value obtained for the electronic total energy is -2.282 eV/atom. The space group is No. 127.

Lattice parameters (Å, degrees): 4.4166 14.7879 14.7879 90.00 90.00 90.00
Fractional coordinates of all 20 atoms:
Sr  0.0000  0.1877  0.3123
Ba  0.5000  0.0000  0.5000
Tl  0.0000  0.8627  0.3627
Ba  0.5000  0.5514  0.6931
Ba  0.5000  0.9486  0.1931
Sr  0.0000  0.3123  0.8123
Sr  0.0000  0.6877  0.1877
Tl  0.0000  0.6373  0.8627
Ba  0.5000  0.5000  0.0000
Ba  0.5000  0.6931  0.4486
Tl  0.0000  0.3627  0.1373
Ba  0.5000  0.3069  0.5514
In  0.0000  0.5000  0.5000
Ba  0.5000  0.4486  0.3069
Ba  0.5000  0.1931  0.0514
Ba  0.5000  0.0514  0.8069
Sr  0.0000  0.8123  0.6877
Tl  0.0000  0.1373  0.6373
Ba  0.5000  0.8069  0.9486
In  0.0000  0.0000  0.0000


VASP calculation (GGA-PBE) on crystalline CaMg2Os at its relaxed geometry.

Calculated values
Its crystal system is monoclinic. For the density of states at the Fermi level, the calculation gives 1.23 states/eV/cell. The value obtained for the density is 5.84 Mg/m³. The value obtained for the electronic total energy is -3.854 eV/atom. The space group is No. 10.

Lattice parameters (Å, degrees): 4.2988 2.9161 7.0118 64.40 90.00 90.00
Fractional coordinates of all 4 atoms:
Mg  0.0000  0.5515  0.4557
Ca  0.5000  0.7500  0.7500
Os  0.5000  0.2500  0.2500
Mg  0.0000  0.9485  0.0443


VASP calculation (GGA-PBE) on crystalline Ce3Ir at its relaxed geometry.

Calculated values
Its crystal system is orthorhombic. For the density of states at the Fermi level, the calculation gives 10.20 states/eV/cell. The value obtained for the density is 10.21 Mg/m³. The value obtained for the electronic total energy is -6.753 eV/atom. The space group is No. 25.

Lattice parameters (Å, degrees): 3.3792 3.2213 9.1520 90.00 90.00 90.00
Fractional coordinates of all 4 atoms:
Ir  0.0000  0.0000  0.9771
Ce  0.0000  0.5000  0.4459
Ce  0.5000  0.0000  0.7406
Ce  0.5000  0.5000  0.1698


VASP calculation (GGA-PBE) on crystalline TaGa2Ni8 at its relaxed geometry.

Calculated values
Its crystal system is orthorhombic. For the density of states at the Fermi level, the calculation gives 11.65 states/eV/cell. The value obtained for the density is 9.40 Mg/m³. The value obtained for the electronic total energy is -5.955 eV/atom. The space group is No. 65.

Lattice parameters (Å, degrees): 3.7944 6.1946 6.1947 106.58 90.01 90.01
Fractional coordinates of all 11 atoms:
Ni  0.5000  0.2470  0.7530
Ni  0.0000  0.3039  0.0389
Ta  0.5000  0.0000  0.0000
Ni  0.0000  0.9611  0.6961
Ni  0.5000  0.3349  0.3349
Ni  0.0000  0.0389  0.3039
Ni  0.5000  0.7530  0.2470
Ga  0.0000  0.6270  0.3730
Ni  0.0000  0.6961  0.9611
Ga  0.0000  0.3730  0.6270
Ni  0.5000  0.6651  0.6651


VASP calculation (GGA-PBE) on crystalline CsCa2NpO6 at its relaxed geometry.

Calculated values
The formation energy without anion corrections comes out at -26.556 eV per formula unit. Its crystal system is trigonal. The value obtained for the density is 5.20 Mg/m³. The space group is No. 146.

Lattice parameters (Å, degrees): 6.0476 6.0471 6.5188 62.37 62.36 59.99
Fractional coordinates of all 10 atoms:
Cs  0.7894  0.7894  0.6316
Np  0.3273  0.3273  0.0180
O  0.2016  0.3201  0.7835
O  0.2838  0.9610  0.2062
Ca  0.0054  0.0054  0.9839
O  0.6949  0.2015  0.7835
O  0.9610  0.5491  0.2062
O  0.5490  0.2838  0.2062
O  0.3201  0.6948  0.7835
Ca  0.5291  0.5291  0.4128


VASP calculation (GGA-PBE) on crystalline MgCd5Au6 at its relaxed geometry.

Calculated values
Its crystal system is monoclinic. For the density of states at the Fermi level, the calculation gives 3.34 states/eV/cell. The value obtained for the density is 12.71 Mg/m³. The calculation puts the energy relative to the lowest polymorph listed for this composition at 0.06 eV per formula unit. The space group is No. 12.

Lattice parameters (Å, degrees): 8.3652 4.6885 7.4239 71.59 80.03 56.76
Fractional coordinates of all 12 atoms:
Au  0.7535  0.0844  0.3211
Au  0.2465  0.5945  0.3211
Cd  0.0000  0.6700  0.6601
Au  0.7628  0.7358  0.0000
Mg  0.0000  0.0000  0.0000
Au  0.7535  0.4055  0.6789
Cd  0.5000  0.8322  0.3355
Au  0.2465  0.9156  0.6789
Cd  0.5000  0.5000  0.0000
Au  0.2372  0.2642  0.0000
Cd  0.0000  0.3300  0.3399
Cd  0.5000  0.1678  0.6645


VASP calculation (GGA-PBE) on crystalline NaAcGe2 at its relaxed geometry.

Calculated values
Its crystal system is tetragonal. For the density of states at the Fermi level, the calculation gives 3.52 states/eV/cell. The value obtained for the density is 6.40 Mg/m³. The value obtained for the electronic total energy is -3.880 eV/atom. The space group is No. 123.

Lattice parameters (Å, degrees): 3.8888 3.8888 6.7771 90.00 90.00 90.00
Fractional coordinates of all 4 atoms:
Ge  0.0000  0.0000  0.8018
Ge  0.0000  0.0000  0.1982
Na  0.5000  0.5000  0.0000
Ac  0.5000  0.5000  0.5000